P:
A plane-wave DFT calculation with PBE was carried out for an optimized crystal structure of Pm5Pr2Ho2.

Calculated values
Density of states at the Fermi level, states/eV/f.u.: 13.44
Symmetry: No. 46
Spin magnetization, μB/f.u.: 0.00
V, Å³/atom: 34.37

Cell and atoms, written as POSCAR:
```
Pm5Pr2Ho2
1.0
-7.512 5.999 3.432
7.512 -5.999 3.432
7.512 5.999 -3.432
Pm Pr Ho
10 4 4
direct
0.057 0.049 0.508
0.063 0.472 0.878
0.063 0.686 0.091
0.250 0.053 0.302
0.250 0.447 0.697
0.541 0.549 0.492
0.594 0.186 0.122
0.594 0.972 0.909
0.750 0.553 0.303
0.750 0.947 0.698
0.145 0.275 0.123
0.145 0.522 0.371
0.151 0.022 0.877
0.151 0.775 0.629
0.600 0.859 0.242
0.617 0.359 0.758
0.679 0.179 0.500
0.679 0.679 0.000
```

Q:
A plane-wave DFT calculation with PBE was carried out for an optimized crystal structure of Pm5Pr2Ho2.

Calculated values
Density of states at the Fermi level, states/eV/f.u.: 14.21
Symmetry: No. 2
Spin magnetization, μB/f.u.: 0.00
V, Å³/atom: 34.03

Cell and atoms, written as POSCAR:
```
Pm5Pr2Ho2
1.0
6.290 0.000 0.000
3.143 5.448 0.000
3.131 1.807 8.936
Pm Pr Ho
5 2 2
direct
0.000 0.000 0.000
0.112 0.445 0.664
0.221 0.888 0.335
0.779 0.112 0.665
0.888 0.555 0.336
0.333 0.334 0.000
0.667 0.666 0.000
0.446 0.779 0.664
0.554 0.221 0.336
```

The most stable of them is Q.

P:
A plane-wave DFT calculation with PBE was carried out for an optimized crystal structure of Pm5Pr4Ho2.

Calculated values
Density of states at the Fermi level, states/eV/f.u.: 16.68
Symmetry: No. 12
Spin magnetization, μB/f.u.: 0.00
V, Å³/atom: 35.06

Cell and atoms, written as POSCAR:
```
Pm5Pr4Ho2
1.0
12.215 -1.791 0.000
12.215 1.791 0.000
-0.677 0.000 8.816
Pm Pr Ho
5 4 2
direct
0.000 0.000 0.000
0.316 0.316 0.525
0.370 0.370 0.955
0.630 0.630 0.045
0.684 0.684 0.475
0.226 0.226 0.825
0.459 0.459 0.654
0.541 0.541 0.346
0.774 0.774 0.175
0.087 0.087 0.698
0.913 0.913 0.302
```

Q:
A plane-wave DFT calculation with PBE was carried out for an optimized crystal structure of Pm5Pr4Ho2.

Calculated values
Density of states at the Fermi level, states/eV/f.u.: 14.17
Symmetry: No. 71
Spin magnetization, μB/f.u.: 0.00
V, Å³/atom: 35.40

Cell and atoms, written as POSCAR:
```
Pm5Pr4Ho2
1.0
-1.795 5.837 9.291
1.795 -5.837 9.291
1.795 5.837 -9.291
Pm Pr Ho
5 4 2
direct
0.000 0.000 0.000
0.111 0.320 0.791
0.471 0.680 0.791
0.529 0.320 0.209
0.889 0.680 0.209
0.259 0.500 0.759
0.410 0.910 0.500
0.590 0.090 0.500
0.741 0.500 0.241
0.204 0.704 0.500
0.796 0.296 0.500
```

The most stable of them is P.

P:
A plane-wave DFT calculation with PBE was carried out for an optimized crystal structure of Pm12PrHo7.

Calculated values
Density of states at the Fermi level, states/eV/f.u.: 38.13
Symmetry: No. 166
Spin magnetization, μB/f.u.: 0.57
V, Å³/atom: 33.44

Cell and atoms, written as POSCAR:
```
Pm12PrHo7
1.0
6.694 3.865 4.309
-6.694 3.865 4.309
0.000 -7.730 4.309
Pm Pr Ho
12 1 7
direct
0.000 0.262 0.738
0.000 0.738 0.262
0.142 0.142 0.409
0.142 0.409 0.142
0.262 0.000 0.738
0.262 0.738 0.000
0.409 0.142 0.142
0.591 0.858 0.858
0.738 0.000 0.262
0.738 0.262 0.000
0.858 0.591 0.858
0.858 0.858 0.591
0.500 0.500 0.500
0.000 0.000 0.000
0.160 0.597 0.597
0.403 0.403 0.840
0.403 0.840 0.403
0.597 0.160 0.597
0.597 0.597 0.160
0.840 0.403 0.403
```

Q:
A plane-wave DFT calculation with PBE was carried out for an optimized crystal structure of Pm12PrHo7.

Calculated values
Density of states at the Fermi level, states/eV/f.u.: 27.21
Symmetry: No. 204
Spin magnetization, μB/f.u.: 0.00
V, Å³/atom: 38.32

Cell and atoms, written as POSCAR:
```
Pm12PrHo7
1.0
-5.765 5.765 5.765
5.765 -5.765 5.765
5.765 5.765 -5.765
Pm Pr Ho
12 1 7
direct
0.002 0.746 0.255
0.254 0.255 0.509
0.254 0.745 0.998
0.255 0.002 0.746
0.255 0.509 0.254
0.491 0.746 0.745
0.509 0.254 0.255
0.745 0.491 0.746
0.745 0.998 0.254
0.746 0.255 0.002
0.746 0.745 0.491
0.998 0.254 0.745
0.000 0.000 0.000
0.000 0.000 0.500
0.000 0.500 0.000
0.000 0.500 0.500
0.500 0.000 0.000
0.500 0.000 0.500
0.500 0.500 0.000
0.500 0.500 0.500
```

The most stable of them is P.

P:
A plane-wave DFT calculation with PBE was carried out for an optimized crystal structure of Pm7Pr12Ho.

Calculated values
Density of states at the Fermi level, states/eV/f.u.: 40.30
Symmetry: No. 148
Spin magnetization, μB/f.u.: 0.00
V, Å³/atom: 35.82

Cell and atoms, written as POSCAR:
```
Pm7Pr12Ho
1.0
6.229 3.596 5.329
-6.229 3.596 5.329
0.000 -7.193 5.329
Pm Pr Ho
7 12 1
direct
0.000 0.000 0.000
0.110 0.427 0.354
0.354 0.110 0.427
0.427 0.354 0.110
0.573 0.646 0.890
0.646 0.890 0.573
0.890 0.573 0.646
0.010 0.888 0.361
0.112 0.639 0.990
0.225 0.356 0.756
0.244 0.775 0.644
0.356 0.756 0.225
0.361 0.010 0.888
0.640 0.990 0.112
0.644 0.244 0.775
0.756 0.225 0.356
0.775 0.644 0.244
0.888 0.361 0.010
0.990 0.112 0.639
0.500 0.500 0.500
```

Q:
A plane-wave DFT calculation with PBE was carried out for an optimized crystal structure of Pm7Pr12Ho.

Calculated values
Density of states at the Fermi level, states/eV/f.u.: 25.30
Symmetry: No. 148
Spin magnetization, μB/f.u.: 0.00
V, Å³/atom: 36.53

Cell and atoms, written as POSCAR:
```
Pm7Pr12Ho
1.0
9.525 5.499 2.325
-9.525 5.499 2.325
0.000 -10.998 2.325
Pm Pr Ho
7 12 1
direct
0.000 0.000 0.000
0.124 0.285 0.427
0.285 0.427 0.124
0.427 0.124 0.285
0.573 0.876 0.715
0.715 0.573 0.876
0.876 0.715 0.573
0.004 0.578 0.791
0.209 0.996 0.422
0.229 0.297 0.751
0.249 0.771 0.703
0.297 0.751 0.229
0.422 0.209 0.996
0.578 0.791 0.004
0.703 0.249 0.771
0.751 0.229 0.297
0.771 0.703 0.249
0.791 0.004 0.578
0.996 0.422 0.209
0.500 0.500 0.500
```

The most stable of them is P.

P:
A plane-wave DFT calculation with PBE was carried out for an optimized crystal structure of Pm7Pr2Ho.

Calculated values
Density of states at the Fermi level, states/eV/f.u.: 14.73
Symmetry: No. 65
Spin magnetization, μB/f.u.: 0.00
V, Å³/atom: 36.17

Cell and atoms, written as POSCAR:
```
Pm7Pr2Ho
1.0
6.008 -8.428 0.000
6.008 8.428 0.000
0.000 0.000 3.572
Pm Pr Ho
7 2 1
direct
0.000 0.000 0.000
0.120 0.371 0.000
0.175 0.825 0.500
0.371 0.120 0.000
0.629 0.880 0.000
0.825 0.175 0.500
0.880 0.629 0.000
0.329 0.671 0.000
0.671 0.329 0.000
0.500 0.500 0.500
```

Q:
A plane-wave DFT calculation with PBE was carried out for an optimized crystal structure of Pm7Pr2Ho.

Calculated values
Density of states at the Fermi level, states/eV/f.u.: 15.24
Symmetry: No. 65
Spin magnetization, μB/f.u.: 0.00
V, Å³/atom: 34.72

Cell and atoms, written as POSCAR:
```
Pm7Pr2Ho
1.0
3.370 -14.728 0.000
3.370 14.728 0.000
0.000 0.000 3.498
Pm Pr Ho
7 2 1
direct
0.000 0.000 0.000
0.158 0.354 0.000
0.312 0.688 0.500
0.354 0.158 0.000
0.646 0.842 0.000
0.688 0.312 0.500
0.842 0.646 0.000
0.204 0.796 0.000
0.796 0.204 0.000
0.500 0.500 0.500
```

The most stable of them is Q.

P:
A plane-wave DFT calculation with PBE was carried out for an optimized crystal structure of Pm2PrHo9.

Calculated values
Density of states at the Fermi level, states/eV/f.u.: 18.06
Symmetry: No. 191
Spin magnetization, μB/f.u.: 0.00
V, Å³/atom: 32.22

Cell and atoms, written as POSCAR:
```
Pm2PrHo9
1.0
11.263 0.000 0.000
-5.631 9.754 0.000
0.000 0.000 3.519
Pm Pr Ho
2 1 9
direct
0.333 0.667 0.000
0.667 0.333 0.000
0.000 0.000 0.000
0.000 0.500 0.000
0.177 0.353 0.500
0.177 0.823 0.500
0.353 0.177 0.500
0.500 0.000 0.000
0.500 0.500 0.000
0.647 0.823 0.500
0.823 0.177 0.500
0.823 0.647 0.500
```

Q:
A plane-wave DFT calculation with PBE was carried out for an optimized crystal structure of Pm2PrHo9.

Calculated values
Density of states at the Fermi level, states/eV/f.u.: 22.74
Symmetry: No. 123
Spin magnetization, μB/f.u.: 0.00
V, Å³/atom: 32.10

Cell and atoms, written as POSCAR:
```
Pm2PrHo9
1.0
5.893 0.000 0.000
0.000 5.893 0.000
0.000 0.000 11.092
Pm Pr Ho
2 1 9
direct
0.000 0.000 0.166
0.000 0.000 0.834
0.000 0.000 0.500
0.000 0.500 0.000
0.000 0.500 0.332
0.000 0.500 0.668
0.500 0.000 0.000
0.500 0.000 0.332
0.500 0.000 0.668
0.500 0.500 0.167
0.500 0.500 0.500
0.500 0.500 0.833
```

The most stable of them is P.

P:
A plane-wave DFT calculation with PBE was carried out for an optimized crystal structure of Pm3PrHo3.

Calculated values
Density of states at the Fermi level, states/eV/f.u.: 10.59
Symmetry: No. 160
Spin magnetization, μB/f.u.: 0.00
V, Å³/atom: 33.89

Cell and atoms, written as POSCAR:
```
Pm3PrHo3
1.0
5.001 2.887 2.738
-5.001 2.887 2.738
0.000 -5.774 2.738
Pm Pr Ho
3 1 3
direct
0.213 0.213 0.574
0.213 0.574 0.213
0.574 0.213 0.213
0.626 0.626 0.626
0.172 0.770 0.770
0.770 0.172 0.770
0.770 0.770 0.172
```

Q:
A plane-wave DFT calculation with PBE was carried out for an optimized crystal structure of Pm3PrHo3.

Calculated values
Density of states at the Fermi level, states/eV/f.u.: 10.84
Symmetry: No. 12
Spin magnetization, μB/f.u.: 0.00
V, Å³/atom: 34.44

Cell and atoms, written as POSCAR:
```
Pm3PrHo3
1.0
5.717 -5.802 0.000
5.717 5.802 0.000
-0.004 0.000 7.267
Pm Pr Ho
6 2 6
direct
0.000 0.000 0.246
0.000 0.000 0.754
0.000 0.498 0.754
0.000 0.502 0.246
0.498 0.000 0.754
0.502 0.000 0.246
0.295 0.295 0.500
0.705 0.705 0.500
0.270 0.730 0.500
0.282 0.718 0.000
0.289 0.289 0.001
0.711 0.711 0.999
0.718 0.282 0.000
0.730 0.270 0.500
```

The most stable of them is Q.

P:
A plane-wave DFT calculation with PBE was carried out for an optimized crystal structure of Pm2PrHo2.

Calculated values
Density of states at the Fermi level, states/eV/f.u.: 7.30
Symmetry: No. 71
Spin magnetization, μB/f.u.: 0.00
V, Å³/atom: 33.54

Cell and atoms, written as POSCAR:
```
Pm2PrHo2
1.0
-1.778 2.858 8.251
1.778 -2.858 8.251
1.778 2.858 -8.251
Pm Pr Ho
2 1 2
direct
0.213 0.213 0.000
0.787 0.787 0.000
0.000 0.500 0.500
0.401 0.901 0.500
0.599 0.099 0.500
```

Q:
A plane-wave DFT calculation with PBE was carried out for an optimized crystal structure of Pm2PrHo2.

Calculated values
Density of states at the Fermi level, states/eV/f.u.: 5.60
Symmetry: No. 127
Spin magnetization, μB/f.u.: 0.00
V, Å³/atom: 33.96

Cell and atoms, written as POSCAR:
```
Pm2PrHo2
1.0
9.430 0.000 0.000
0.000 9.430 0.000
0.000 0.000 3.819
Pm Pr Ho
4 2 4
direct
0.128 0.372 0.000
0.372 0.872 0.000
0.628 0.128 0.000
0.872 0.628 0.000
0.000 0.000 0.000
0.500 0.500 0.000
0.169 0.669 0.500
0.331 0.169 0.500
0.669 0.831 0.500
0.831 0.331 0.500
```

The most stable of them is P.

P:
A plane-wave DFT calculation with PBE was carried out for an optimized crystal structure of PmPr4Ho6.

Calculated values
Density of states at the Fermi level, states/eV/f.u.: 14.53
Symmetry: No. 121
Spin magnetization, μB/f.u.: 0.00
V, Å³/atom: 34.86

Cell and atoms, written as POSCAR:
```
PmPr4Ho6
1.0
-3.362 3.362 8.480
3.362 -3.362 8.480
3.362 3.362 -8.480
Pm Pr Ho
1 4 6
direct
0.000 0.000 0.000
0.015 0.633 0.000
0.367 0.367 0.382
0.633 0.015 0.000
0.985 0.985 0.618
0.000 0.500 0.500
0.200 0.200 0.646
0.445 0.800 0.000
0.500 0.000 0.500
0.555 0.555 0.354
0.800 0.445 0.000
```

Q:
A plane-wave DFT calculation with PBE was carried out for an optimized crystal structure of PmPr4Ho6.

Calculated values
Density of states at the Fermi level, states/eV/f.u.: 15.47
Symmetry: No. 121
Spin magnetization, μB/f.u.: 0.00
V, Å³/atom: 36.02

Cell and atoms, written as POSCAR:
```
PmPr4Ho6
1.0
-3.895 3.895 6.528
3.895 -3.895 6.528
3.895 3.895 -6.528
Pm Pr Ho
1 4 6
direct
0.000 0.000 0.000
0.248 0.248 0.649
0.401 0.752 0.000
0.599 0.599 0.351
0.752 0.401 0.000
0.000 0.500 0.500
0.065 0.568 0.000
0.432 0.432 0.497
0.500 0.000 0.500
0.568 0.065 0.000
0.935 0.935 0.503
```

The most stable of them is P.

P:
A plane-wave DFT calculation with PBE was carried out for an optimized crystal structure of Pm4Pr5Ho2.

Calculated values
Density of states at the Fermi level, states/eV/f.u.: 16.30
Symmetry: No. 12
Spin magnetization, μB/f.u.: 0.00
V, Å³/atom: 34.74

Cell and atoms, written as POSCAR:
```
Pm4Pr5Ho2
1.0
9.006 -1.797 0.000
9.006 1.797 0.000
-0.813 0.000 11.803
Pm Pr Ho
4 5 2
direct
0.038 0.038 0.263
0.359 0.359 0.204
0.641 0.641 0.796
0.962 0.962 0.737
0.097 0.097 0.538
0.178 0.178 0.074
0.500 0.500 0.000
0.822 0.822 0.926
0.903 0.903 0.462
0.284 0.284 0.642
0.716 0.716 0.358
```

Q:
A plane-wave DFT calculation with PBE was carried out for an optimized crystal structure of Pm4Pr5Ho2.

Calculated values
Density of states at the Fermi level, states/eV/f.u.: 17.17
Symmetry: No. 10
Spin magnetization, μB/f.u.: 0.00
V, Å³/atom: 34.90

Cell and atoms, written as POSCAR:
```
Pm4Pr5Ho2
1.0
9.060 0.000 0.000
0.000 3.567 0.000
-0.913 0.000 11.878
Pm Pr Ho
4 5 2
direct
0.158 0.000 0.390
0.283 0.000 0.949
0.717 0.000 0.051
0.842 0.000 0.610
0.194 0.500 0.667
0.428 0.500 0.205
0.500 0.500 0.500
0.572 0.500 0.795
0.806 0.500 0.333
0.057 0.500 0.135
0.943 0.500 0.865
```

The most stable of them is P.